Computed, not measured: a relaxed LiLaMo2Ir crystal at the GGA-PBE level of DFT.

Calculated density, g/cm³: 8.86
Energy of formation from the pure elements, meV per atom: 1965.3
DFT total energy, eV per atom: -5.508

Cell lengths 4.752, 4.398, 4.752 Å; angles 90.00, 90.00, 90.00 degrees
Element x y z (fractional)
La1 0.000 0.000 0.000
Ir1 0.500 0.500 0.500
Li1 0.000 0.500 0.000
Mo1 0.500 0.000 0.000
Mo2 0.000 0.000 0.500


Computed, not measured: a relaxed Li2LaMoIr crystal at the GGA-PBE level of DFT.

Calculated density, g/cm³: 7.12
Energy of formation from the pure elements, meV per atom: 1581.7
DFT total energy, eV per atom: -4.108

Cell lengths 4.600, 4.862, 4.600 Å; angles 90.00, 90.00, 90.00 degrees
Element x y z (fractional)
Li1 0.500 0.000 0.000
Li2 0.000 0.000 0.500
La1 0.000 0.000 0.000
Mo1 0.500 0.500 0.500
Ir1 0.000 0.500 0.000


Computed, not measured: a relaxed Li2LaNbIr crystal at the GGA-PBE level of DFT.

Calculated density, g/cm³: 6.40
Energy of formation from the pure elements, meV per atom: 468.7
DFT total energy, eV per atom: -5.069

Cell lengths 4.833, 4.868, 4.833 Å; angles 90.00, 90.00, 90.00 degrees
Last column: magnetic moment on the atom in μB.
Element x y z (fractional)
La1 0.500 0.500 0.500  -0.02
Li1 0.500 0.000 0.000  0.11
Li2 0.000 0.000 0.500  0.07
Ir1 0.000 0.500 0.000  0.05
Nb1 0.000 0.000 0.000  1.15


Computed, not measured: a relaxed LiLa2IrO5 crystal at the GGA-PBE level of DFT.

Calculated density, g/cm³: 6.55
DFT total energy, eV per atom: -7.240
Raw formation energy, meV/atom: -2193

Cell lengths 5.796, 6.982, 6.982 Å; angles 90.00, 90.00, 90.00 degrees
Last column: magnetic moment on the atom in μB.
Element x y z (fractional)
O1 0.753 0.366 0.134  0.14
O2 0.247 0.634 0.866  0.14
O3 0.500 0.000 0.000  0.05
O4 0.753 0.634 0.866  0.14
O5 0.753 0.134 0.634  0.14
O6 0.247 0.134 0.634  0.14
O7 0.753 0.866 0.366  0.14
O8 0.247 0.866 0.366  0.14
O9 0.247 0.366 0.134  0.14
O10 0.500 0.500 0.500  0.05
Ir1 0.000 0.500 0.000  1.22
Ir2 0.000 0.000 0.500  1.22
Li1 0.000 0.500 0.500  0.00
Li2 0.000 0.000 0.000  0.00
La1 0.500 0.680 0.180  0.01
La2 0.500 0.180 0.320  0.01
La3 0.500 0.320 0.820  0.01
La4 0.500 0.820 0.680  0.01


Computed, not measured: a relaxed Li2LaIrO6 crystal at the GGA-PBE level of DFT.

Calculated density, g/cm³: 6.09
DFT total energy, eV per atom: -6.421
Raw formation energy, meV/atom: -1684

Cell lengths 5.445, 5.529, 7.987 Å; angles 90.00, 91.43, 90.00 degrees
Last column: magnetic moment on the atom in μB.
Element x y z (fractional)
O1 0.602 0.304 0.591  0.12
O2 0.184 0.127 0.443  0.11
O3 0.102 0.196 0.091  0.12
O4 0.816 0.873 0.557  0.11
O5 0.898 0.804 0.909  0.12
O6 0.380 0.888 0.717  0.08
O7 0.316 0.627 0.057  0.11
O8 0.120 0.388 0.783  0.08
O9 0.398 0.696 0.409  0.12
O10 0.684 0.373 0.943  0.11
O11 0.620 0.112 0.283  0.08
O12 0.880 0.612 0.217  0.08
Li1 0.535 0.480 0.235  0.01
Li2 0.465 0.520 0.765  0.01
Li3 0.035 0.020 0.735  0.01
Li4 0.965 0.980 0.265  0.01
La1 0.000 0.500 0.500  0.04
La2 0.500 0.000 0.000  0.04
Ir1 0.000 0.500 0.000  0.86
Ir2 0.500 0.000 0.500  0.86


Computed, not measured: a relaxed LiLa2IrO crystal at the GGA-PBE level of DFT.

Calculated density, g/cm³: 8.40
DFT total energy, eV per atom: -6.557
Raw formation energy, meV/atom: -1439

Cell lengths 5.007, 5.007, 3.887 Å; angles 90.00, 90.00, 90.00 degrees
Element x y z (fractional)
La1 0.500 0.000 0.000
La2 0.000 0.500 0.000
O1 0.000 0.000 0.000
Ir1 0.500 0.500 0.500
Li1 0.000 0.000 0.500


Computed, not measured: a relaxed Li2LaIr2O7 crystal at the GGA-PBE level of DFT.

Calculated density, g/cm³: 7.55
DFT total energy, eV per atom: -6.630
Raw formation energy, meV/atom: -1532

Cell lengths 3.852, 3.948, 9.784 Å; angles 101.65, 101.36, 90.01 degrees
Element x y z (fractional)
La1 0.000 0.000 0.000
Ir1 0.613 0.613 0.227
Ir2 0.387 0.387 0.773
O1 0.717 0.717 0.434
O2 0.898 0.398 0.796
O3 0.283 0.283 0.566
O4 0.592 0.092 0.184
O5 0.102 0.602 0.204
O6 0.500 0.500 0.000
O7 0.408 0.908 0.816
Li1 0.250 0.749 0.498
Li2 0.750 0.251 0.502


Computed, not measured: a relaxed LiLa2P3Ir4 crystal at the GGA-PBE level of DFT.

Calculated density, g/cm³: 11.20
Energy of formation from the pure elements, meV per atom: -947.7
DFT total energy, eV per atom: -7.292

Cell lengths 4.113, 4.113, 10.048 Å; angles 90.00, 90.00, 90.00 degrees
Element x y z (fractional)
P1 0.000 0.500 0.135
P2 0.000 0.000 0.500
P3 0.500 0.000 0.865
Ir1 0.500 0.000 0.633
Ir2 0.500 0.500 0.000
Ir3 0.000 0.000 0.000
Ir4 0.000 0.500 0.367
La1 0.000 0.500 0.742
La2 0.500 0.000 0.258
Li1 0.500 0.500 0.500


Computed, not measured: a relaxed LiLaP2Ir crystal at the GGA-PBE level of DFT.

Calculated density, g/cm³: 7.89
Energy of formation from the pure elements, meV per atom: -1015.0
DFT total energy, eV per atom: -6.319

Cell lengths 4.086, 4.086, 5.811 Å; angles 110.58, 110.58, 90.00 degrees
Element x y z (fractional)
P1 0.621 0.621 0.241
P2 0.379 0.379 0.759
Ir1 0.250 0.750 0.500
Li1 0.750 0.250 0.500
La1 0.000 0.000 0.000


Computed, not measured: a relaxed LiLa2IrPd crystal at the GGA-PBE level of DFT.

Calculated density, g/cm³: 7.95
Energy of formation from the pure elements, meV per atom: -634.7
DFT total energy, eV per atom: -5.799

Cell lengths 4.178, 4.178, 13.958 Å; angles 90.00, 90.00, 90.00 degrees
Element x y z (fractional)
Ir1 0.500 0.000 0.111
Ir2 0.000 0.500 0.889
La1 0.500 0.000 0.305
La2 0.000 0.500 0.107
La3 0.500 0.000 0.893
La4 0.000 0.500 0.695
Li1 0.000 0.000 0.500
Li2 0.500 0.500 0.500
Pd1 0.500 0.000 0.635
Pd2 0.000 0.500 0.365


Computed, not measured: a relaxed Li2LaIrPd crystal at the GGA-PBE level of DFT.

Calculated density, g/cm³: 6.38
Energy of formation from the pure elements, meV per atom: 14.8
DFT total energy, eV per atom: -4.547

Cell lengths 4.686, 5.347, 4.686 Å; angles 90.00, 90.00, 90.00 degrees
Element x y z (fractional)
Ir1 0.000 0.000 0.000
La1 0.000 0.500 0.000
Li1 0.500 0.000 0.000
Li2 0.000 0.000 0.500
Pd1 0.500 0.500 0.500


Computed, not measured: a relaxed LiLaPrIr crystal at the GGA-PBE level of DFT.

Calculated density, g/cm³: 8.23
Energy of formation from the pure elements, meV per atom: -365.0
DFT total energy, eV per atom: -5.485

Cell lengths 5.151, 5.151, 5.151 Å; angles 60.00, 60.00, 60.00 degrees
Element x y z (fractional)
Pr1 0.250 0.250 0.250
Li1 0.000 0.000 0.000
La1 0.750 0.750 0.750
Ir1 0.500 0.500 0.500